No. 1
## Ti2Al5FeCo2 (PBE)

Data for a relaxed structure of Ti2Al5FeCo2.

Symmetry: P4/mbm, No. 127
E_form: -0.400 eV/atom
Mass density: 4.7 g cm⁻³
Raw total energy: -6.117 eV per atom

a = 3.8765 Å, b = 8.5504 Å, c = 8.5504 Å
α = 90.00°, β = 90.00°, γ = 90.00°
Site moments in Bohr magnetons follow the coordinates.
Positions (direct):
Ti 0.0000 0.6752 0.1752  0.01
Ti 0.0000 0.3248 0.8248  0.01
Ti 0.0000 0.1752 0.3248  0.01
Ti 0.0000 0.8248 0.6752  0.01
Al 0.5000 0.2046 0.0703  -0.01
Al 0.5000 0.7954 0.9297  -0.01
Al 0.5000 0.0703 0.7954  -0.01
Al 0.5000 0.7046 0.4297  -0.01
Al 0.5000 0.9297 0.2046  -0.01
Al 0.5000 0.2954 0.5703  -0.01
Al 0.5000 0.5703 0.7046  -0.01
Al 0.5000 0.4297 0.2954  -0.01
Al 0.5000 0.5000 0.0000  -0.01
Al 0.5000 0.0000 0.5000  -0.01
Fe 0.0000 0.0000 0.0000  2.19
Fe 0.0000 0.5000 0.5000  2.19
Co 0.0000 0.1191 0.6191  0.10
Co 0.0000 0.8809 0.3809  0.10
Co 0.0000 0.6191 0.8809  0.10
Co 0.0000 0.3809 0.1191  0.10

***

No. 2
## Tm2Al6FeCo (PBE)

Data for a relaxed structure of Tm2Al6FeCo.

Symmetry: Fm-3m, No. 225
E_form: -0.277 eV/atom
Mass density: 5.6 g cm⁻³
Raw total energy: -4.974 eV per atom

a = 6.3497 Å, b = 6.3491 Å, c = 6.3482 Å
α = 60.00°, β = 59.99°, γ = 90.02°
Positions (direct):
Tm 0.2499 0.7501 0.5000
Tm 0.7501 0.2499 0.5000
Al 0.2502 0.7498 0.0000
Al 0.7499 0.7499 0.9998
Al 0.2501 0.2501 0.4996
Al 0.7498 0.2502 0.0000
Al 0.2501 0.2501 0.0002
Al 0.7499 0.7499 0.5004
Fe 0.0000 0.0000 0.0000
Co 0.5000 0.5000 0.0000

***

No. 3
## Tm2AlFe2Co5 (PBE)

Data for a relaxed structure of Tm2AlFe2Co5.

Symmetry: P4/mbm, No. 127
E_form: -0.107 eV/atom
Mass density: 8.9 g cm⁻³
Raw total energy: -6.621 eV per atom

a = 3.3759 Å, b = 9.2490 Å, c = 9.2490 Å
α = 90.00°, β = 90.00°, γ = 90.00°
Site moments in Bohr magnetons follow the coordinates.
Positions (direct):
Tm 0.0000 0.6777 0.1777  -0.35
Tm 0.0000 0.3223 0.8223  -0.35
Tm 0.0000 0.1777 0.3223  -0.35
Tm 0.0000 0.8223 0.6777  -0.35
Al 0.0000 0.0000 0.0000  -0.01
Al 0.0000 0.5000 0.5000  -0.01
Fe 0.0000 0.1213 0.6213  2.45
Fe 0.0000 0.8787 0.3787  2.45
Fe 0.0000 0.6213 0.8787  2.45
Fe 0.0000 0.3787 0.1213  2.45
Co 0.5000 0.2058 0.0603  1.18
Co 0.5000 0.7942 0.9397  1.18
Co 0.5000 0.0603 0.7942  1.18
Co 0.5000 0.7058 0.4397  1.18
Co 0.5000 0.9397 0.2058  1.18
Co 0.5000 0.2942 0.5603  1.18
Co 0.5000 0.5603 0.7058  1.18
Co 0.5000 0.4397 0.2942  1.18
Co 0.5000 0.5000 0.0000  1.29
Co 0.5000 0.0000 0.5000  1.29

***

No. 4
## Y2AlFe2Co5 (PBE)

Data for a relaxed structure of Y2AlFe2Co5.

Symmetry: P4/mbm, No. 127
E_form: -0.056 eV/atom
Mass density: 6.8 g cm⁻³
Raw total energy: -6.968 eV per atom

a = 3.3404 Å, b = 9.4192 Å, c = 9.4192 Å
α = 90.00°, β = 90.00°, γ = 90.00°
Site moments in Bohr magnetons follow the coordinates.
Positions (direct):
Y 0.0000 0.6781 0.1781  -0.24
Y 0.0000 0.3219 0.8219  -0.24
Y 0.0000 0.1781 0.3219  -0.24
Y 0.0000 0.8219 0.6781  -0.24
Al 0.0000 0.0000 0.0000  -0.01
Al 0.0000 0.5000 0.5000  -0.01
Fe 0.0000 0.1214 0.6214  2.49
Fe 0.0000 0.8786 0.3786  2.49
Fe 0.0000 0.6214 0.8786  2.49
Fe 0.0000 0.3786 0.1214  2.49
Co 0.5000 0.2061 0.0594  1.20
Co 0.5000 0.7939 0.9406  1.20
Co 0.5000 0.0594 0.7939  1.20
Co 0.5000 0.7061 0.4406  1.20
Co 0.5000 0.9406 0.2061  1.20
Co 0.5000 0.2939 0.5594  1.20
Co 0.5000 0.5594 0.7061  1.20
Co 0.5000 0.4406 0.2939  1.20
Co 0.5000 0.5000 0.0000  1.34
Co 0.5000 0.0000 0.5000  1.34

***

No. 5
## Zr2AlFeCo (PBE)

Data for a relaxed structure of Zr2AlFeCo.

Symmetry: P4/mmm, No. 123
E_form: 0.413 eV/atom
Mass density: 5.6 g cm⁻³
Raw total energy: -6.868 eV per atom

a = 4.6779 Å, b = 4.4280 Å, c = 4.6779 Å
α = 90.00°, β = 90.00°, γ = 90.00°
Positions (direct):
Co 0.5000 0.5000 0.5000
Fe 0.0000 0.0000 0.0000
Zr 0.0000 0.0000 0.5000
Zr 0.5000 0.0000 0.0000
Al 0.0000 0.5000 0.0000

***

No. 6
## AlGa3Co (PBE)

Data for a relaxed structure of AlGa3Co.

Offset from the most stable computed form: 161.3 meV per atom
Symmetry: Pm-3m, No. 221
E_form: 0.068 eV/atom
Mass density: 5.1 g cm⁻³
Raw total energy: -3.918 eV per atom

a = 4.5683 Å, b = 4.5683 Å, c = 4.5683 Å
α = 90.00°, β = 90.00°, γ = 90.00°
Positions (direct):
Co 0.0000 0.0000 0.0000
Al 0.5000 0.5000 0.5000
Ga 0.0000 0.5000 0.0000
Ga 0.0000 0.0000 0.5000
Ga 0.5000 0.0000 0.0000

***

No. 7
## Al2Ga2Co3 (PBE)

Data for a relaxed structure of Al2Ga2Co3.

Symmetry: C2/m, No. 12
E_form: -0.395 eV/atom
Mass density: 6.7 g cm⁻³
Raw total energy: -5.375 eV per atom

a = 4.0396 Å, b = 4.0379 Å, c = 6.9032 Å
α = 90.05°, β = 107.07°, γ = 120.04°
Positions (direct):
Al 0.7582 0.3795 0.1363
Al 0.2418 0.6205 0.8637
Ga 0.2572 0.1289 0.3842
Ga 0.7428 0.8711 0.6158
Co 0.0000 0.0000 0.0000
Co 0.5061 0.2523 0.7611
Co 0.4939 0.7477 0.2389

***

No. 8
## AlGa2Co3 (PBE)

Data for a relaxed structure of AlGa2Co3.

Symmetry: P4/mmm, No. 123
E_form: -0.391 eV/atom
Mass density: 8.0 g cm⁻³
Raw total energy: -5.577 eV per atom

a = 2.8749 Å, b = 2.8749 Å, c = 8.5863 Å
α = 90.00°, β = 90.00°, γ = 90.00°
Positions (direct):
Al 0.5000 0.5000 0.5000
Ga 0.5000 0.5000 0.8317
Ga 0.5000 0.5000 0.1683
Co 0.0000 0.0000 0.0000
Co 0.0000 0.0000 0.6658
Co 0.0000 0.0000 0.3342

***

No. 9
## AlGaCo2 (PBE)

Data for a relaxed structure of AlGaCo2.

Symmetry: P4/mmm, No. 123
E_form: -0.445 eV/atom
Mass density: 7.6 g cm⁻³
Raw total energy: -5.691 eV per atom

a = 2.8850 Å, b = 4.0385 Å, c = 4.0385 Å
α = 90.00°, β = 90.00°, γ = 90.00°
Positions (direct):
Co 0.0000 0.0000 0.5000
Co 0.0000 0.5000 0.0000
Al 0.5000 0.5000 0.5000
Ga 0.5000 0.0000 0.0000

***

No. 10
## Al4GaCo5 (PBE)

Data for a relaxed structure of Al4GaCo5.

Symmetry: P4/mmm, No. 123
E_form: -0.542 eV/atom
Mass density: 6.7 g cm⁻³
Raw total energy: -5.894 eV per atom

a = 2.8578 Å, b = 2.8578 Å, c = 14.2844 Å
α = 90.00°, β = 90.00°, γ = 90.00°
Positions (direct):
Al 0.0000 0.0000 0.2013
Al 0.0000 0.0000 0.4004
Al 0.0000 0.0000 0.5996
Al 0.0000 0.0000 0.7987
Ga 0.0000 0.0000 0.0000
Co 0.5000 0.5000 0.1007
Co 0.5000 0.5000 0.3005
Co 0.5000 0.5000 0.5000
Co 0.5000 0.5000 0.6995
Co 0.5000 0.5000 0.8993

***

No. 11
## Al2GaCo (PBE)

Data for a relaxed structure of Al2GaCo.

Symmetry: P4/mmm, No. 123
E_form: -0.195 eV/atom
Mass density: 5.5 g cm⁻³
Raw total energy: -4.599 eV per atom

a = 3.0972 Å, b = 3.0972 Å, c = 5.7668 Å
α = 90.00°, β = 90.00°, γ = 90.00°
Positions (direct):
Co 0.5000 0.5000 0.0000
Al 0.0000 0.0000 0.7764
Al 0.0000 0.0000 0.2236
Ga 0.5000 0.5000 0.5000

***

No. 12
## AlGa2Co (PBE)

Data for a relaxed structure of AlGa2Co.

Symmetry: I4_1/amd, No. 141
E_form: -0.088 eV/atom
Mass density: 4.2 g cm⁻³
Raw total energy: -4.314 eV per atom

a = 8.8466 Å, b = 8.8466 Å, c = 6.6523 Å
α = 48.32°, β = 48.32°, γ = 90.00°
Positions (direct):
Co 0.0000 0.0000 0.0000
Co 0.7500 0.2500 0.5000
Al 0.5000 0.5000 0.0000
Al 0.2500 0.7500 0.5000
Ga 0.8751 0.1250 0.2500
Ga 0.8749 0.6250 0.2500
Ga 0.3750 0.1249 0.7500
Ga 0.8750 0.1251 0.7500

***

No. 13
## AlGa3Co (PBE)

Data for a relaxed structure of AlGa3Co.

Offset from the most stable computed form: 999.3 meV per atom
Symmetry: Pm-3m, No. 221
E_form: 0.906 eV/atom
Mass density: 4.2 g cm⁻³
Raw total energy: -3.080 eV per atom

a = 4.8723 Å, b = 4.8723 Å, c = 4.8723 Å
α = 90.00°, β = 90.00°, γ = 90.00°
Site moments in Bohr magnetons follow the coordinates.
Positions (direct):
Co 0.5000 0.5000 0.5000  2.05
Al 0.0000 0.0000 0.0000  0.00
Ga 0.0000 0.5000 0.0000  -0.02
Ga 0.0000 0.0000 0.5000  -0.01
Ga 0.5000 0.0000 0.0000  -0.02

***

No. 14
## AlGaCo2 (PBE)

Data for a relaxed structure of AlGaCo2.

Symmetry: Fm-3m, No. 225
E_form: -0.446 eV/atom
Mass density: 7.6 g cm⁻³
Raw total energy: -5.691 eV per atom

a = 4.0509 Å, b = 4.0508 Å, c = 4.0508 Å
α = 120.00°, β = 120.00°, γ = 60.00°
Positions (direct):
Co 0.5000 0.5000 0.5000
Co 0.0000 0.0000 0.0000
Al 0.2500 0.2500 0.7500
Ga 0.7500 0.7500 0.2500

***

No. 15
## AlGa5Co6 (PBE)

Data for a relaxed structure of AlGa5Co6.

Symmetry: Cmmm, No. 65
E_form: -0.336 eV/atom
Mass density: 8.5 g cm⁻³
Raw total energy: -5.462 eV per atom

a = 4.0652 Å, b = 5.7522 Å, c = 6.4283 Å
α = 90.00°, β = 71.57°, γ = 90.00°
Positions (direct):
Co 0.8331 0.7507 0.3338
Co 0.8331 0.2493 0.3338
Co 0.5000 0.2508 0.0000
Co 0.5000 0.7492 0.0000
Co 0.1669 0.7507 0.6662
Co 0.1669 0.2493 0.6662
Al 0.0000 0.0000 0.0000
Ga 0.6666 0.5000 0.6668
Ga 0.3352 0.0000 0.3297
Ga 0.0000 0.5000 0.0000
Ga 0.6648 0.0000 0.6703
Ga 0.3334 0.5000 0.3332

***

No. 16
## Al8Ga2Co (PBE)

Data for a relaxed structure of Al8Ga2Co.

Symmetry: C2/m, No. 12
E_form: -0.063 eV/atom
Mass density: 3.7 g cm⁻³
Raw total energy: -3.981 eV per atom

a = 4.1940 Å, b = 5.6115 Å, c = 9.0161 Å
α = 116.12°, β = 103.45°, γ = 90.00°
Positions (direct):
Al 0.3849 0.5627 0.7698
Al 0.6299 0.9607 0.2599
Al 0.7914 0.6778 0.5827
Al 0.9937 0.2361 0.9874
Al 0.2086 0.3222 0.4173
Al 0.3701 0.0393 0.7401
Al 0.6151 0.4373 0.2302
Al 0.0063 0.7639 0.0126
Ga 0.8131 0.2199 0.6261
Ga 0.1869 0.7801 0.3739
Co 0.5000 0.0000 0.0000

***

No. 17
## Al2GaCo2 (PBE)

Data for a relaxed structure of Al2GaCo2.

Symmetry: P4/mbm, No. 127
E_form: -0.238 eV/atom
Mass density: 6.2 g cm⁻³
Raw total energy: -5.182 eV per atom

a = 6.9271 Å, b = 6.9271 Å, c = 2.7102 Å
α = 90.00°, β = 90.00°, γ = 90.00°
Positions (direct):
Co 0.1620 0.6620 0.5000
Co 0.6620 0.8380 0.5000
Co 0.8380 0.3380 0.5000
Co 0.3380 0.1620 0.5000
Al 0.3660 0.8660 0.0000
Al 0.8660 0.6340 0.0000
Al 0.6340 0.1340 0.0000
Al 0.1340 0.3660 0.0000
Ga 0.0000 0.0000 0.0000
Ga 0.5000 0.5000 0.0000

***

No. 18
## Al2GaCo (PBE)

Data for a relaxed structure of Al2GaCo.

Symmetry: I4_1/amd, No. 141
E_form: -0.055 eV/atom
Mass density: 3.5 g cm⁻³
Raw total energy: -4.460 eV per atom

a = 8.7810 Å, b = 8.7810 Å, c = 6.6102 Å
α = 48.38°, β = 48.38°, γ = 90.00°
Positions (direct):
Co 0.5000 0.5000 0.0000
Co 0.2500 0.7500 0.5000
Al 0.3752 0.1250 0.2500
Al 0.3748 0.6250 0.2500
Al 0.3750 0.6248 0.7500
Al 0.8750 0.6252 0.7500
Ga 0.0000 0.0000 0.0000
Ga 0.7500 0.2500 0.5000

***

No. 19
## Al2GaCo (PBE)

Data for a relaxed structure of Al2GaCo.

Symmetry: Cmcm, No. 63
E_form: -0.302 eV/atom
Mass density: 5.3 g cm⁻³
Raw total energy: -4.706 eV per atom

a = 3.1809 Å, b = 4.8246 Å, c = 7.9367 Å
α = 90.00°, β = 90.00°, γ = 109.33°
Positions (direct):
Al 0.3591 0.7174 0.5462
Al 0.6409 0.2826 0.4538
Al 0.3591 0.7174 0.9538
Al 0.6409 0.2826 0.0462
Ga 0.9548 0.9100 0.2500
Ga 0.0452 0.0900 0.7500
Co 0.7595 0.5190 0.7500
Co 0.2405 0.4810 0.2500

***

No. 20
## Al2GaCo (PBE)

Data for a relaxed structure of Al2GaCo.

Symmetry: R-3m, No. 166
E_form: 0.302 eV/atom
Mass density: 4.8 g cm⁻³
Raw total energy: -4.103 eV per atom

a = 2.7180 Å, b = 2.7180 Å, c = 10.0560 Å
α = 82.23°, β = 82.23°, γ = 60.00°
Site moments in Bohr magnetons follow the coordinates.
Positions (direct):
Co 0.5000 0.5000 0.5000  1.40
Al 0.5811 0.5811 0.2568  0.00
Al 0.4189 0.4189 0.7432  0.00
Ga 0.0000 0.0000 0.0000  -0.01

***

No. 21
## Al6Ga2Co (PBE)

Data for a relaxed structure of Al6Ga2Co.

Offset from the most stable computed form: 10.1 meV per atom
Symmetry: C2/m, No. 12
E_form: -0.155 eV/atom
Mass density: 3.8 g cm⁻³
Raw total energy: -4.112 eV per atom

a = 4.2091 Å, b = 5.9304 Å, c = 7.2319 Å
α = 114.21°, β = 106.12°, γ = 90.00°
Positions (direct):
Al 0.1452 0.3898 0.3049
Al 0.8548 0.0849 0.6951
Al 0.8548 0.6102 0.6951
Al 0.5000 0.2219 0.0000
Al 0.1452 0.9151 0.3049
Al 0.5000 0.7781 0.0000
Ga 0.6604 0.6688 0.3375
Ga 0.3396 0.3312 0.6625
Co 0.0000 0.0000 0.0000

***

No. 22
## Al3GaCo3 (PBE)

Data for a relaxed structure of Al3GaCo3.

Symmetry: R-3m, No. 166
E_form: -0.438 eV/atom
Mass density: 5.9 g cm⁻³
Raw total energy: -5.520 eV per atom

a = 4.9232 Å, b = 4.9301 Å, c = 4.9232 Å
α = 109.50°, β = 109.44°, γ = 109.50°
Site moments in Bohr magnetons follow the coordinates.
Positions (direct):
Al 0.4998 0.0036 0.0000  0.00
Al 0.5002 0.5039 0.5002  0.00
Al 0.0000 0.0036 0.4998  0.00
Ga 0.0000 0.5030 0.0000  -0.01
Co 0.5001 0.5037 0.0000  0.27
Co 0.4999 0.0036 0.4999  0.27
Co 0.0000 0.5037 0.5001  0.27

***

No. 23
## Al3GaCo (PBE)

Data for a relaxed structure of Al3GaCo.

Offset from the most stable computed form: 1206.0 meV per atom
Symmetry: Pm-3m, No. 221
E_form: 1.027 eV/atom
Mass density: 3.2 g cm⁻³
Raw total energy: -3.245 eV per atom

a = 4.7560 Å, b = 4.7560 Å, c = 4.7560 Å
α = 90.00°, β = 90.00°, γ = 90.00°
Site moments in Bohr magnetons follow the coordinates.
Positions (direct):
Co 0.5000 0.5000 0.5000  1.92
Al 0.0000 0.5000 0.0000  -0.01
Al 0.0000 0.0000 0.5000  0.01
Al 0.5000 0.0000 0.0000  -0.01
Ga 0.0000 0.0000 0.0000  -0.01

***

No. 24
## Al3GaCo (PBE)

Data for a relaxed structure of Al3GaCo.

Offset from the most stable computed form: 140.3 meV per atom
Symmetry: Pm-3m, No. 221
E_form: -0.039 eV/atom
Mass density: 3.8 g cm⁻³
Raw total energy: -4.311 eV per atom

a = 4.5118 Å, b = 4.5118 Å, c = 4.5118 Å
α = 90.00°, β = 90.00°, γ = 90.00°
Positions (direct):
Co 0.0000 0.0000 0.0000
Al 0.0000 0.5000 0.0000
Al 0.0000 0.0000 0.5000
Al 0.5000 0.0000 0.0000
Ga 0.5000 0.5000 0.5000

***

| no. | V (Å³/atom) |
| --- | --- |
| 1 | 14.17 |
| 2 | 18.09 |
| 3 | 14.44 |
| 4 | 14.82 |
| 5 | 19.38 |
| 6 | 19.07 |
| 7 | 13.10 |
| 8 | 11.83 |
| 9 | 11.76 |
| 10 | 11.67 |
| 11 | 13.83 |
| 12 | 22.14 |
| 13 | 23.13 |
| 14 | 11.75 |
| 15 | 11.88 |
| 16 | 16.73 |
| 17 | 13.01 |
| 18 | 21.86 |
| 19 | 14.37 |
| 20 | 15.89 |
| 21 | 17.43 |
| 22 | 13.14 |
| 23 | 21.52 |
| 24 | 18.37 |